Pr2Ho12Th | PBE | relaxed

Cell: 6.9926 11.3896 24.7549 Å, 90.00 90.00 90.00°
With the nearest neighbours (Å) after each atom.
Space group Cmme (No. 67)
Inequivalent atoms, fractional coordinates:
Pr 0.0000 0.2500 0.2318 x4  2 Pr 3.50, 8 Ho 3.65-3.76
Pr 0.0000 0.2500 0.7679 x4  2 Pr 3.50, 8 Ho 3.65-3.76
Ho 0.0000 0.0000 0.4236 x8  2 Th 3.42, 9 Ho 3.49-3.78
Ho 0.0000 0.0005 0.0623 x8  7 Ho 3.08-3.39
Ho 0.2500 0.0000 0.1728 x8  5 Ho 3.19-3.50
Ho 0.2500 0.0000 0.3018 x8  7 Ho 3.19-3.50
Ho 0.2504 0.2500 0.0851 x8  8 Ho 3.38-3.58
Ho 0.2500 0.2500 0.3757 x8  8 Ho 3.38-3.55, 2 Th 3.54
Th 0.0000 0.2500 0.5000 x4  8 Ho 3.42-3.54, 2 Th 3.50

Computed properties:
ΔE_f = 0.175 eV per atom

=====

ErIn2Pd2 | PBE | relaxed

Cell: 4.7731 4.7731 5.5066 Å, 90.00 90.00 120.00°
With the nearest neighbours (Å) after each atom.
Space group P-3m1 (No. 164)
Inequivalent atoms, fractional coordinates:
Er 0.0000 0.0000 0.0000 x1  6 Pd 2.88
In 0.3333 0.6667 0.6456 x2  5 Pd 2.71-2.97
Pd 0.3333 0.6667 0.1526 x2  5 In 2.71-2.97, 3 Er 2.88

Computed properties:
ΔE_f = -0.685 eV per atom

=====

Pm3Np2Fe4 | PBE | relaxed

Cell: 11.1420 4.0140 8.5287 Å, 90.00 104.40 90.00°
With the nearest neighbours (Å) after each atom.
Space group C2/m (No. 12)
Inequivalent atoms, fractional coordinates:
Pm 0.0000 0.0000 0.0000 x2  8 Fe 3.21-3.41
Pm 0.1255 0.5000 0.3799 x4  6 Fe 3.04-3.23, 2 Np 3.25-3.33
Np 0.1711 0.5000 0.7806 x4  5 Fe 2.38-2.54
Fe 0.0899 0.0000 0.6458 x4  2 Np 2.38, 1 Fe 2.59
Fe 0.2365 0.5000 0.0884 x4  3 Np 2.40-2.54, 3 Fe 2.57-2.59

Computed properties:
ΔE_f = -0.016 eV per atom

=====

LiAgTe2 | PBE | relaxed

Cell: 4.5019 4.5019 17.8465 Å, 90.00 90.00 120.00°
With the nearest neighbours (Å) after each atom.
Space group R3m (No. 160, hexagonal axes)
Inequivalent atoms, fractional coordinates:
Li 0.0000 0.0000 0.0000 x3  6 Te 2.96-3.04, 1 Ag 3.00
Ag 0.0000 0.0000 0.1680 x3  6 Te 2.96-3.02, 1 Li 3.00
Te 0.0000 0.0000 0.5878 x3  3 Li 2.96, 1 Te 2.98, 3 Ag 3.02
Te 0.0000 0.0000 0.7548 x3  3 Ag 2.96, 1 Te 2.98, 3 Li 3.04

Computed properties:
E_form (uncorrected) = -0.32 eV per atom

=====

YScCo | PBE | relaxed

Cell: 5.4190 4.2152 6.0548 Å, 90.00 105.86 90.00°
With the nearest neighbours (Å) after each atom.
Space group P2_1/m (No. 11)
Inequivalent atoms, fractional coordinates:
Y 0.0703 0.2500 0.2858 x2  4 Co 2.77-2.92
Sc 0.4728 0.2500 0.8021 x2  3 Co 2.53-2.58
Co 0.3694 0.7500 0.5640 x2  3 Sc 2.53-2.58, 2 Co 2.76, 1 Y 2.77

Computed properties:
ΔE_f = -0.170 eV per atom

=====

Na2Li2Zn | PBE | relaxed

Cell: 3.8282 3.8282 18.1094 Å, 90.00 90.00 90.00°
With the nearest neighbours (Å) after each atom.
Space group I4/mmm (No. 139)
Inequivalent atoms, fractional coordinates:
Na 0.0000 0.0000 0.0977 x4  4 Zn 3.23, 4 Li 3.36, 1 Na 3.54
Li 0.0000 0.5000 0.2500 x4  4 Li 2.71
Zn 0.0000 0.0000 0.5000 x2  8 Na 3.23

Computed properties:
ΔE_f = 0.161 eV per atom

=====

SrCaZn | PBE | relaxed

Cell: 5.2696 5.2696 4.5095 Å, 90.00 90.00 120.00°
With the nearest neighbours (Å) after each atom.
Space group P3m1 (No. 156)
Inequivalent atoms, fractional coordinates:
Sr 0.0000 0.0000 0.0000 x1  3 Zn 3.56, 6 Ca 3.77-3.80
Ca 0.3333 0.6667 0.5064 x1  3 Zn 3.07
Zn 0.6667 0.3333 0.4117 x1  3 Ca 3.07

Computed properties:
ΔE_f = 0.011 eV per atom

=====

NdCoC2 | PBE | relaxed

Cell: 3.7993 3.7993 14.4956 Å, 90.00 90.00 90.00°
With the nearest neighbours (Å) after each atom.
Space group P4_1 (No. 76)
Inequivalent atoms, fractional coordinates:
Nd 0.1415 0.1430 0.0000 x4  8 C 2.71-2.77, 4 Co 3.00-3.03
Co 0.3540 0.3626 0.5963 x4  4 C 1.94-2.01
C 0.1433 0.6421 0.1363 x4  1 C 1.38
C 0.3493 0.3591 0.4626 x4  1 C 1.38

Computed properties:
ΔE_f = -0.268 eV per atom

=====

YScGeRu | PBE | relaxed

Cell: 6.7789 6.7789 6.7789 Å, 90.00 90.00 90.00°
With the nearest neighbours (Å) after each atom.
Space group F-43m (No. 216)
Inequivalent atoms, fractional coordinates:
Y 0.0000 0.0000 0.0000 x4  4 Ru 2.94, 4 Ge 2.94
Sc 0.0000 0.0000 0.5000 x4  4 Ge 2.94, 4 Ru 2.94
Ge 0.2500 0.2500 0.7500 x4  4 Sc 2.94, 4 Y 2.94
Ru 0.2500 0.2500 0.2500 x4  4 Sc 2.94, 4 Y 2.94

Computed properties:
ΔE_f = -0.517 eV per atom

=====

Bi2H2Pd7Pb | PBE | relaxed

Cell: 5.7953 5.7952 11.8577 Å, 90.00 104.05 90.00°
With the nearest neighbours (Å) after each atom.
Space group C2/m (No. 12)
Inequivalent atoms, fractional coordinates:
Bi 0.1984 0.0000 0.3981 x4  5 Pd 2.85-2.94
H 0.0841 0.5000 0.1742 x4  6 Pd 2.00-2.07
Pd 0.0000 0.5000 0.0000 x2  2 H 2.00
Pd 0.1596 0.2500 0.8189 x8  2 H 2.04-2.06
Pd 0.1761 0.5000 0.3538 x4  1 H 2.07
Pb 0.0000 0.0000 0.0000 x2  12 Pd 2.90-2.92

=====

Sm4AlTl2 | PBE | relaxed

Cell: 5.3201 5.3201 26.0956 Å, 90.00 90.00 120.00°
With the nearest neighbours (Å) after each atom.
Space group R-3m (No. 166, hexagonal axes)
Inequivalent atoms, fractional coordinates:
Sm 0.0000 0.0000 0.1239 x6  3 Al 3.27, 4 Tl 3.27-3.35
Sm 0.0000 0.0000 0.3754 x6  4 Tl 3.21-3.24, 1 Al 3.25
Al 0.0000 0.0000 0.5000 x3  8 Sm 3.25-3.27
Tl 0.0000 0.0000 0.2523 x6  8 Sm 3.21-3.35

Computed properties:
ΔE_f = -0.212 eV per atom

=====

HoEr2Pt9 | PBE | relaxed

Cell: 4.1032 4.1032 12.3103 Å, 90.00 90.00 90.00°
With the nearest neighbours (Å) after each atom.
Space group P4/mmm (No. 123)
Inequivalent atoms, fractional coordinates:
Ho 0.0000 0.0000 0.0000 x1  12 Pt 2.90-2.91
Er 0.0000 0.0000 0.3335 x2  12 Pt 2.90
Pt 0.0000 0.5000 0.1673 x4  2 Er 2.90, 8 Pt 2.90-2.91, 2 Ho 2.91
Pt 0.0000 0.5000 0.5000 x2  8 Pt 2.90, 4 Er 2.90
Pt 0.5000 0.5000 0.0000 x1  4 Ho 2.90, 8 Pt 2.91
Pt 0.5000 0.5000 0.3337 x2  8 Pt 2.90, 4 Er 2.90

Computed properties:
ΔE_f = -1.067 eV per atom

=====

| no. | V (Å³/atom) | calculated total energy (eV/f.u.) |
| --- | --- | --- |
| 1 | 32.9 | -69.29 |
| 2 | 21.7 | -23.85 |
| 3 | 20.5 | -74.13 |
| 4 | 26.1 | -12.32 |
| 5 | 22.2 | -20.41 |
| 6 | 26.5 | -6.93 |
| 7 | 36.1 | -4.92 |
| 8 | 13.1 | -31.39 |
| 9 | 19.5 | -28.76 |
| 10 | 16.1 | -57.31 |
| 11 | 30.5 | -28.83 |
| 12 | 17.3 | -80.88 |